Compound: InGa2FeRh
Source: Alexandria
Functional: GGA-PBEsol
Structure: relaxed

a = 4.362 Å, b = 4.362 Å, c = 4.740 Å
α = 90.00°, β = 90.00°, γ = 90.00°
Atoms (fractional coordinates):
1 In 0.000 0.000 0.000
2 Ga 0.000 0.500 0.500
3 Ga 0.500 0.000 0.500
4 Fe 0.000 0.000 0.500
5 Rh 0.500 0.500 0.000

Calculated total energy: -4.856 eV/atom
SG: P4/mmm (123)
Calculated formation energy: 2.48 eV per formula unit
Mass density: 7.61 g/cm³